1.
# PBE LiMg2Si, optimized geometry
data_LiMg2Si
_cell_length_a 4.9107
_cell_length_b 4.9107
_cell_length_c 4.9107
_cell_angle_alpha 127.46
_cell_angle_beta 127.48
_cell_angle_gamma 77.49
_symmetry_space_group_name_H-M 'P 1'
_symmetry_Int_Tables_number 1
_symmetry_space_group_name_Hall 'P 1'
loop_
_atom_site_label
_atom_site_type_symbol
_atom_site_fract_x
_atom_site_fract_y
_atom_site_fract_z
_atom_site_occupancy
Si1 Si 0.7500 0.2500 0.5000 1
Mg1 Mg 0.5000 0.5000 0.0000 1
Li1 Li 0.2500 0.7500 0.5000 1
Mg2 Mg 0.0000 0.0000 0.0000 1
# Total energy (eV/atom): -2.70
# Crystal system: tetragonal

2.
# PBE LiMgSi, optimized geometry
data_LiMgSi
_cell_length_a 4.4483
_cell_length_b 4.4483
_cell_length_c 7.6245
_cell_angle_alpha 73.04
_cell_angle_beta 73.04
_cell_angle_gamma 60.00
_symmetry_space_group_name_H-M 'P 1'
_symmetry_Int_Tables_number 1
_symmetry_space_group_name_Hall 'P 1'
loop_
_atom_site_label
_atom_site_type_symbol
_atom_site_fract_x
_atom_site_fract_y
_atom_site_fract_z
_atom_site_occupancy
Li1 Li 0.1261 0.1261 0.6217 1
Li2 Li 0.8739 0.8739 0.3783 1
Si1 Si 0.2493 0.2493 0.2521 1
Si2 Si 0.7507 0.7507 0.7479 1
Mg1 Mg 0.3781 0.3781 0.8658 1
Mg2 Mg 0.6219 0.6219 0.1342 1
# Total energy (eV/atom): -2.99
# Crystal system: trigonal

3.
# PBE LiMg2Si, optimized geometry
data_LiMg2Si
_cell_length_a 3.5633
_cell_length_b 3.5633
_cell_length_c 5.9311
_cell_angle_alpha 90.00
_cell_angle_beta 90.00
_cell_angle_gamma 90.00
_symmetry_space_group_name_H-M 'P 1'
_symmetry_Int_Tables_number 1
_symmetry_space_group_name_Hall 'P 1'
loop_
_atom_site_label
_atom_site_type_symbol
_atom_site_fract_x
_atom_site_fract_y
_atom_site_fract_z
_atom_site_occupancy
Mg1 Mg 0.0000 0.0000 0.0118 1
Mg2 Mg 0.0000 0.0000 0.4882 1
Li1 Li 0.5000 0.5000 0.7500 1
Si1 Si 0.5000 0.5000 0.2500 1
# Total energy (eV/atom): -2.64
# Crystal system: tetragonal

4.
# PBE Li8Mg2Si, optimized geometry
data_Li8Mg2Si
_cell_length_a 4.4749
_cell_length_b 7.3339
_cell_length_c 7.9160
_cell_angle_alpha 62.40
_cell_angle_beta 79.16
_cell_angle_gamma 66.04
_symmetry_space_group_name_H-M 'P 1'
_symmetry_Int_Tables_number 1
_symmetry_space_group_name_Hall 'P 1'
loop_
_atom_site_label
_atom_site_type_symbol
_atom_site_fract_x
_atom_site_fract_y
_atom_site_fract_z
_atom_site_occupancy
Mg1 Mg 0.0000 0.6918 0.6165 1
Li1 Li 0.5000 0.1839 0.6322 1
Mg2 Mg 0.0000 0.3082 0.3835 1
Si1 Si 0.5000 0.0000 0.0000 1
Li2 Li 0.8644 0.0987 0.1897 1
Li3 Li 0.1356 0.7116 0.1897 1
Li4 Li 0.1356 0.9013 0.8103 1
Li5 Li 0.6977 0.6269 0.0000 1
Li6 Li 0.8644 0.2884 0.8103 1
Li7 Li 0.3023 0.3731 0.0000 1
Li8 Li 0.5000 0.8161 0.3678 1
# Total energy (eV/atom): -2.18
# Crystal system: monoclinic

5.
# PBE LiMgSi, optimized geometry
data_LiMgSi
_cell_length_a 4.3482
_cell_length_b 4.3482
_cell_length_c 3.0875
_cell_angle_alpha 90.00
_cell_angle_beta 90.00
_cell_angle_gamma 120.00
_symmetry_space_group_name_H-M 'P 1'
_symmetry_Int_Tables_number 1
_symmetry_space_group_name_Hall 'P 1'
loop_
_atom_site_label
_atom_site_type_symbol
_atom_site_fract_x
_atom_site_fract_y
_atom_site_fract_z
_atom_site_occupancy
Li1 Li 0.0000 0.0000 0.8342 1
Mg1 Mg 0.6667 0.3333 0.3333 1
Si1 Si 0.3333 0.6667 0.8325 1
# Total energy (eV/atom): -3.04
# Crystal system: trigonal

6.
# PBE Li3MgSi, optimized geometry
data_Li3MgSi
_cell_length_a 3.2646
_cell_length_b 4.3969
_cell_length_c 14.0426
_cell_angle_alpha 99.01
_cell_angle_beta 96.44
_cell_angle_gamma 90.00
_symmetry_space_group_name_H-M 'P 1'
_symmetry_Int_Tables_number 1
_symmetry_space_group_name_Hall 'P 1'
loop_
_atom_site_label
_atom_site_type_symbol
_atom_site_fract_x
_atom_site_fract_y
_atom_site_fract_z
_atom_site_occupancy
Li1 Li 0.0381 0.2942 0.5885 1
Si1 Si 0.8868 0.1282 0.2564 1
Si2 Si 0.1132 0.8718 0.7436 1
Mg1 Mg 0.3801 0.6188 0.2376 1
Mg2 Mg 0.6199 0.3812 0.7624 1
Li2 Li 0.3034 0.0493 0.0985 1
Li3 Li 0.9619 0.7058 0.4115 1
Li4 Li 0.5402 0.7963 0.5927 1
Li5 Li 0.4598 0.2037 0.4073 1
Li6 Li 0.6966 0.9507 0.9015 1
# Relative energy among the computed polymorphs (eV per atom): 0.067
# Total energy (eV/atom): -2.57
# Crystal system: monoclinic

7.
# PBE LiMg2Si, optimized geometry
data_LiMg2Si
_cell_length_a 3.0842
_cell_length_b 3.0842
_cell_length_c 7.9169
_cell_angle_alpha 90.00
_cell_angle_beta 90.00
_cell_angle_gamma 90.01
_symmetry_space_group_name_H-M 'P 1'
_symmetry_Int_Tables_number 1
_symmetry_space_group_name_Hall 'P 1'
loop_
_atom_site_label
_atom_site_type_symbol
_atom_site_fract_x
_atom_site_fract_y
_atom_site_fract_z
_atom_site_occupancy
Mg1 Mg 0.0000 0.0000 0.9884 1
Mg2 Mg 0.5000 0.5000 0.2868 1
Si1 Si 0.0000 0.0000 0.5147 1
Li1 Li 0.5000 0.5000 0.7101 1
# Total energy (eV/atom): -2.63
# Crystal system: tetragonal

8.
# PBE LiMg2Si, optimized geometry
data_LiMg2Si
_cell_length_a 5.7528
_cell_length_b 4.3483
_cell_length_c 6.4522
_cell_angle_alpha 90.00
_cell_angle_beta 67.46
_cell_angle_gamma 90.00
_symmetry_space_group_name_H-M 'P 1'
_symmetry_Int_Tables_number 1
_symmetry_space_group_name_Hall 'P 1'
loop_
_atom_site_label
_atom_site_type_symbol
_atom_site_fract_x
_atom_site_fract_y
_atom_site_fract_z
_atom_site_occupancy
Li1 Li 0.1350 0.7500 0.2557 1
Mg1 Mg 0.2654 0.2500 0.9152 1
Si1 Si 0.8555 0.2500 0.3160 1
Li2 Li 0.8650 0.2500 0.7443 1
Mg2 Mg 0.7346 0.7500 0.0848 1
Mg3 Mg 0.3515 0.2500 0.3994 1
Si2 Si 0.1445 0.7500 0.6840 1
Mg4 Mg 0.6485 0.7500 0.6006 1
# Total energy (eV/atom): -2.74
# Crystal system: monoclinic

9.
# PBE Li6MgSi, optimized geometry
data_Li6MgSi
_cell_length_a 7.3354
_cell_length_b 7.3559
_cell_length_c 5.1857
_cell_angle_alpha 44.62
_cell_angle_beta 45.06
_cell_angle_gamma 60.41
_symmetry_space_group_name_H-M 'P 1'
_symmetry_Int_Tables_number 1
_symmetry_space_group_name_Hall 'P 1'
loop_
_atom_site_label
_atom_site_type_symbol
_atom_site_fract_x
_atom_site_fract_y
_atom_site_fract_z
_atom_site_occupancy
Li1 Li 0.0002 0.5022 0.7295 1
Li2 Li 0.7681 0.0041 0.7260 1
Si1 Si 0.0000 0.0000 0.0000 1
Li3 Li 0.5002 0.7678 0.7297 1
Li4 Li 0.4998 0.2322 0.2703 1
Li5 Li 0.9998 0.4978 0.2705 1
Li6 Li 0.2319 0.9959 0.2740 1
Mg1 Mg 0.5000 0.5000 0.5000 1
# Total energy (eV/atom): -2.36
# Crystal system: triclinic

10.
# PBE LiMgSi, optimized geometry
data_LiMgSi
_cell_length_a 3.2422
_cell_length_b 4.3083
_cell_length_c 7.5001
_cell_angle_alpha 90.00
_cell_angle_beta 90.00
_cell_angle_gamma 90.00
_symmetry_space_group_name_H-M 'P 1'
_symmetry_Int_Tables_number 1
_symmetry_space_group_name_Hall 'P 1'
loop_
_atom_site_label
_atom_site_type_symbol
_atom_site_fract_x
_atom_site_fract_y
_atom_site_fract_z
_atom_site_occupancy
Mg1 Mg 0.5000 0.5000 0.8701 1
Si1 Si 0.5000 0.0000 0.0949 1
Si2 Si 0.0000 0.5000 0.5843 1
Li1 Li 0.5000 0.0000 0.4671 1
Mg2 Mg 0.0000 0.5000 0.2324 1
Li2 Li 0.0000 0.0000 0.7906 1
# Total energy (eV/atom): -3.09
# Crystal system: orthorhombic

11.
# PBE Li2Mg4Si, optimized geometry
data_Li2Mg4Si
_cell_length_a 5.0692
_cell_length_b 5.0692
_cell_length_c 7.9662
_cell_angle_alpha 71.45
_cell_angle_beta 71.45
_cell_angle_gamma 90.00
_symmetry_space_group_name_H-M 'P 1'
_symmetry_Int_Tables_number 1
_symmetry_space_group_name_Hall 'P 1'
loop_
_atom_site_label
_atom_site_type_symbol
_atom_site_fract_x
_atom_site_fract_y
_atom_site_fract_z
_atom_site_occupancy
Si1 Si 0.0000 0.0000 0.0000 1
Li1 Li 0.6133 0.6133 0.7735 1
Mg1 Mg 0.8108 0.8108 0.3784 1
Li2 Li 0.3867 0.3867 0.2265 1
Mg2 Mg 0.5000 0.0000 0.0000 1
Mg3 Mg 0.1892 0.1892 0.6216 1
Mg4 Mg 0.0000 0.5000 0.0000 1
# Total energy (eV/atom): -1.95
# Crystal system: tetragonal

12.
# PBE Li4MgSi, optimized geometry
data_Li4MgSi
_cell_length_a 4.4422
_cell_length_b 6.6993
_cell_length_c 9.4063
_cell_angle_alpha 90.00
_cell_angle_beta 135.31
_cell_angle_gamma 90.00
_symmetry_space_group_name_H-M 'P 1'
_symmetry_Int_Tables_number 1
_symmetry_space_group_name_Hall 'P 1'
loop_
_atom_site_label
_atom_site_type_symbol
_atom_site_fract_x
_atom_site_fract_y
_atom_site_fract_z
_atom_site_occupancy
Li1 Li 0.5029 0.0240 0.6688 1
Mg1 Mg 0.5000 0.5000 0.0000 1
Li2 Li 0.4971 0.5240 0.3312 1
Si1 Si 0.0018 0.2500 0.3338 1
Li3 Li 0.1010 0.7500 0.4005 1
Li4 Li 0.5029 0.4760 0.6688 1
Mg2 Mg 0.5000 0.0000 0.0000 1
Li5 Li 0.8866 0.7500 0.9247 1
Si2 Si 0.9982 0.7500 0.6662 1
Li6 Li 0.1134 0.2500 0.0753 1
Li7 Li 0.8990 0.2500 0.5995 1
Li8 Li 0.4971 0.9760 0.3312 1
# Relative energy among the computed polymorphs (eV per atom): 0.036
# Total energy (eV/atom): -2.60
# Crystal system: monoclinic

13.
# PBE LiMg4Si, optimized geometry
data_LiMg4Si
_cell_length_a 5.7417
_cell_length_b 5.7417
_cell_length_c 5.7417
_cell_angle_alpha 60.00
_cell_angle_beta 60.00
_cell_angle_gamma 60.00
_symmetry_space_group_name_H-M 'P 1'
_symmetry_Int_Tables_number 1
_symmetry_space_group_name_Hall 'P 1'
loop_
_atom_site_label
_atom_site_type_symbol
_atom_site_fract_x
_atom_site_fract_y
_atom_site_fract_z
_atom_site_occupancy
Mg1 Mg 0.3752 0.8744 0.3752 1
Mg2 Mg 0.3752 0.3752 0.8744 1
Mg3 Mg 0.3752 0.3752 0.3752 1
Mg4 Mg 0.8744 0.3752 0.3752 1
Li1 Li 0.0000 0.0000 0.0000 1
Si1 Si 0.7500 0.7500 0.7500 1
# Total energy (eV/atom): -2.04
# Crystal system: cubic

Energy relative to the elements, uncorrected: -7.0 -1.1 -1.2 -0.7 -5.7 -1.7 0.2 -10.9 -4.5 -10.6 27.1 -14.5 23.7 (kJ per mole of atoms)